A plane-wave DFT calculation with PBE was carried out for a geometry-optimized ScZnNiHg structure.

Computed properties:
- E_tot (Ha/atom) = -0.1316
- calculated volume (Å³/cell) = 268.28

```
data_ScZnNiHg
_chemical_formula_sum 'Sc4 Zn4 Ni4 Hg4'
_cell_length_a 6.4495
_cell_length_b 6.4495
_cell_length_c 6.4495
_cell_angle_alpha 90.00
_cell_angle_beta 90.00
_cell_angle_gamma 90.00
_space_group_name_H-M_alt 'P 1'
_space_group_IT_number 1
loop_
_space_group_symop_operation_xyz
'x,y,z'
loop_
_atom_site_label
_atom_site_type_symbol
_atom_site_fract_x
_atom_site_fract_y
_atom_site_fract_z
Sc1 Sc 0.0000 0.0000 0.0000
Sc2 Sc 0.0000 0.5000 0.5000
Sc3 Sc 0.5000 0.0000 0.5000
Sc4 Sc 0.5000 0.5000 0.0000
Zn1 Zn 0.2500 0.2500 0.2500
Zn2 Zn 0.2500 0.7500 0.7500
Zn3 Zn 0.7500 0.2500 0.7500
Zn4 Zn 0.7500 0.7500 0.2500
Ni1 Ni 0.0000 0.0000 0.5000
Ni2 Ni 0.0000 0.5000 0.0000
Ni3 Ni 0.5000 0.0000 0.0000
Ni4 Ni 0.5000 0.5000 0.5000
Hg1 Hg 0.2500 0.2500 0.7500
Hg2 Hg 0.2500 0.7500 0.2500
Hg3 Hg 0.7500 0.2500 0.2500
Hg4 Hg 0.7500 0.7500 0.7500
```